# Pr8Tm3Mg2 | Alexandria | GGA-PBE | relaxed
# Energy relative to the elements in kJ/mol of formula units: 73
# ρ in g cm⁻³: 6.373
# Magnetization in μB per formula unit: 0.00
data_Pr8Tm3Mg2
_chemical_formula_sum 'Pr8 Tm3 Mg2'
_cell_length_a 8.1296
_cell_length_b 5.2929
_cell_length_c 10.5440
_cell_angle_alpha 90.00
_cell_angle_beta 104.90
_cell_angle_gamma 90.00
_symmetry_space_group_name_H-M 'P 1 2/m 1'
_symmetry_Int_Tables_number 10
loop_
_symmetry_equiv_pos_as_xyz
'x,y,z'
'-x,-y,-z'
'-x,y,-z'
'x,-y,z'
loop_
_atom_site_label
_atom_site_type_symbol
_atom_site_fract_x
_atom_site_fract_y
_atom_site_fract_z
_atom_site_occupancy
Pr1 Pr 0.0485 0.0000 0.3436 1
Pr2 Pr 0.1371 0.5000 0.8890 1
Pr3 Pr 0.3365 0.5000 0.2668 1
Pr4 Pr 0.3958 0.0000 0.8161 1
Tm1 Tm 0.2238 0.5000 0.5738 1
Tm2 Tm 0.5000 0.0000 0.5000 1
Mg1 Mg 0.1782 0.0000 0.0741 1

---

# VPBrN | Alexandria | GGA-PBE | relaxed
# ρ in g cm⁻³: 4.591
# Magnetization in μB per formula unit: 0.00
# Calculated total energy in eV per cell: -75.9
data_VPBrN
_chemical_formula_sum 'V3 P3 Br3 N3'
_cell_length_a 3.0332
_cell_length_b 3.0332
_cell_length_c 23.9438
_cell_angle_alpha 90.00
_cell_angle_beta 90.00
_cell_angle_gamma 120.00
_symmetry_space_group_name_H-M 'R 3 m'
_symmetry_Int_Tables_number 160
_symmetry_space_group_name_Hall 'R 3 -2"'
loop_
_atom_site_label
_atom_site_type_symbol
_atom_site_fract_x
_atom_site_fract_y
_atom_site_fract_z
_atom_site_occupancy
V1 V 0.0000 0.0000 0.0000 1
P1 P 0.0000 0.0000 0.4506 1
Br1 Br 0.0000 0.0000 0.2583 1
N1 N 0.0000 0.0000 0.3803 1

---

# SrCe2ErSe4 | Alexandria | GGA-PBE | relaxed
# ρ in g cm⁻³: 6.646
# Magnetization in μB per formula unit: 2.54
# Calculated total energy in eV per cell: -46.4
data_SrCe2ErSe4
_chemical_formula_sum 'Sr1 Ce2 Er1 Se4'
_cell_length_a 7.2853
_cell_length_b 4.1834
_cell_length_c 7.3753
_cell_angle_alpha 90.00
_cell_angle_beta 108.95
_cell_angle_gamma 90.00
_symmetry_space_group_name_H-M 'P 1 2/m 1'
_symmetry_Int_Tables_number 10
loop_
_symmetry_equiv_pos_as_xyz
'x,y,z'
'-x,-y,-z'
'-x,y,-z'
'x,-y,z'
loop_
_atom_site_label
_atom_site_type_symbol
_atom_site_fract_x
_atom_site_fract_y
_atom_site_fract_z
_atom_site_occupancy
Sr1 Sr 0.0000 0.0000 0.0000 1
Ce1 Ce 0.0000 0.5000 0.5000 1
Ce2 Ce 0.5000 0.0000 0.5000 1
Er1 Er 0.5000 0.5000 0.0000 1
Se1 Se 0.2608 0.5000 0.2480 1
Se2 Se 0.2637 0.0000 0.7598 1